[1]
K2SnGeMo | meta-GGA SCAN | single point on PBEsol structure

Unit cell a=6.615 b=6.615 c=5.158 alpha=90.00 beta=90.00 gamma=90.00
Element x y z (fractional)
1 K 0.000 0.500 0.000
2 K 0.500 0.000 0.000
3 Sn 0.000 0.000 0.000
4 Ge 0.000 0.000 0.500
5 Mo 0.500 0.500 0.500

Values from the calculation:
**Calculated volume**: 45.1 Å³ per atom
**DFT formation energy**: 105 kJ per mole of atoms
**Total magnetic moment**: 1.104 μB/atom
**Symmetry**: P4/mmm

---

[2]
KGeN2 | meta-GGA SCAN | single point on PBEsol structure

Unit cell a=3.919 b=3.919 c=20.022 alpha=90.00 beta=90.00 gamma=120.00
Element x y z (fractional)
1 K 0.000 0.000 0.000
2 K 0.333 0.667 0.667
3 K 0.667 0.333 0.333
4 Ge 0.000 0.000 0.500
5 Ge 0.333 0.667 0.167
6 Ge 0.667 0.333 0.833
7 N 0.000 0.000 0.416
8 N 0.000 0.000 0.584
9 N 0.333 0.667 0.082
10 N 0.333 0.667 0.251
11 N 0.667 0.333 0.749
12 N 0.667 0.333 0.918

Values from the calculation:
**Calculated volume**: 22.2 Å³ per atom
**Uncorrected formation energy**: 770 meV per atom
**Total magnetic moment**: 0.250 μB/atom
**Symmetry**: R-3m

---

[3]
KGeN2O | meta-GGA SCAN | single point on PBEsol structure

Unit cell a=3.955 b=3.955 c=3.885 alpha=90.00 beta=90.00 gamma=90.00
Element x y z (fractional)
1 K 0.000 0.000 0.000
2 Ge 0.500 0.500 0.500
3 N 0.000 0.500 0.500
4 N 0.500 0.000 0.500
5 O 0.500 0.500 0.000

Values from the calculation:
**Calculated volume**: 12.2 Å³ per atom
**Uncorrected formation energy**: 194 meV per atom
**Total magnetic moment**: 0.600 μB/atom
**Symmetry**: P4/mmm

---

[4]
KTaGeN2 | meta-GGA SCAN | single point on PBEsol structure

Unit cell a=4.064 b=4.064 c=4.869 alpha=90.00 beta=90.00 gamma=90.00
Element x y z (fractional)
1 K 0.000 0.000 0.000
2 Ta 0.500 0.500 0.000
3 Ge 0.000 0.000 0.500
4 N 0.000 0.500 0.500
5 N 0.500 0.000 0.500

Values from the calculation:
**Calculated volume**: 16.1 Å³ per atom
**Uncorrected formation energy**: 2508 meV per atom
**Total magnetic moment**: 0.582 μB/atom
**Symmetry**: P4/mmm

---

[5]
KGeTeN2 | meta-GGA SCAN | single point on PBEsol structure

Unit cell a=4.237 b=4.237 c=5.453 alpha=90.00 beta=90.00 gamma=90.00
Element x y z (fractional)
1 K 0.000 0.000 0.000
2 Ge 0.500 0.500 0.500
3 Te 0.500 0.500 0.000
4 N 0.000 0.500 0.500
5 N 0.500 0.000 0.500

Values from the calculation:
**Calculated volume**: 19.6 Å³ per atom
**Uncorrected formation energy**: 1026 meV per atom
**Total magnetic moment**: 0.650 μB/atom
**Symmetry**: P4/mmm

---

[6]
KNa3Ge | meta-GGA SCAN | single point on PBEsol structure

Unit cell a=5.705 b=5.705 c=5.705 alpha=90.00 beta=90.00 gamma=90.00
Element x y z (fractional)
1 K 0.000 0.000 0.000
2 Na 0.000 0.500 0.500
3 Na 0.500 0.000 0.500
4 Na 0.500 0.500 0.000
5 Ge 0.500 0.500 0.500

Values from the calculation:
**Calculated volume**: 37.1 Å³ per atom
**DFT formation energy**: -1 kJ per mole of atoms
**Total magnetic moment**: 0.001 μB/atom
**Symmetry**: Pm-3m

---

[7]
K3Nb3Ge2O13 | meta-GGA SCAN | single point on PBEsol structure

Unit cell a=9.319 b=9.319 c=7.796 alpha=90.00 beta=90.00 gamma=120.00
Element x y z (fractional)
1 K 0.000 0.605 0.000
2 K 0.000 0.609 0.500
3 K 0.391 0.391 0.500
4 K 0.395 0.395 0.000
5 K 0.605 0.000 0.000
6 K 0.609 0.000 0.500
7 Nb 0.000 0.232 0.250
8 Nb 0.000 0.232 0.750
9 Nb 0.232 0.000 0.250
10 Nb 0.232 0.000 0.750
11 Nb 0.768 0.768 0.250
12 Nb 0.768 0.768 0.750
13 Ge 0.333 0.667 0.226
14 Ge 0.333 0.667 0.774
15 Ge 0.667 0.333 0.226
16 Ge 0.667 0.333 0.774
17 O 0.000 0.205 0.500
18 O 0.000 0.282 0.000
19 O 0.000 0.827 0.218
20 O 0.000 0.827 0.782
21 O 0.173 0.173 0.218
22 O 0.173 0.173 0.782
23 O 0.178 0.474 0.293
24 O 0.178 0.474 0.707
25 O 0.205 0.000 0.500
26 O 0.282 0.000 0.000
27 O 0.296 0.822 0.293
28 O 0.296 0.822 0.707
29 O 0.333 0.667 0.000
30 O 0.474 0.178 0.293
31 O 0.474 0.178 0.707
32 O 0.526 0.704 0.293
33 O 0.526 0.704 0.707
34 O 0.667 0.333 0.000
35 O 0.704 0.526 0.293
36 O 0.704 0.526 0.707
37 O 0.718 0.718 0.000
38 O 0.795 0.795 0.500
39 O 0.822 0.296 0.293
40 O 0.822 0.296 0.707
41 O 0.827 0.000 0.218
42 O 0.827 0.000 0.782

Values from the calculation:
**Calculated volume**: 14.0 Å³ per atom
**Uncorrected formation energy**: -2394 meV per atom
**Total magnetic moment**: 0.000 μB/atom
**Symmetry**: P-62m

---

[8]
KNdGeS4 | meta-GGA SCAN | single point on PBEsol structure

Unit cell a=6.549 b=6.648 c=8.640 alpha=90.00 beta=107.53 gamma=90.00
Element x y z (fractional)
1 K 0.233 0.000 0.435
2 K 0.767 0.500 0.565
3 Nd 0.272 0.014 0.948
4 Nd 0.728 0.514 0.052
5 Ge 0.278 0.483 0.180
6 Ge 0.722 0.983 0.820
7 S 0.078 0.426 0.927
8 S 0.078 0.481 0.342
9 S 0.475 0.743 0.773
10 S 0.483 0.756 0.212
11 S 0.517 0.256 0.788
12 S 0.525 0.243 0.227
13 S 0.922 0.926 0.073
14 S 0.922 0.981 0.658

Values from the calculation:
**Calculated volume**: 25.6 Å³ per atom
**Uncorrected formation energy**: -1452 meV per atom
**Total magnetic moment**: 0.000 μB/atom
**Symmetry**: P2_1